{
  "formula": "MnFeSbIr",
  "functional": "PBE-GGA",
  "state": "optimized geometry",
  "e_form_raw_ev_per_atom": 0.00,
  "crystal_system": "cubic",
  "sg": "F-43m (216)",
  "cell": [[-4.192, -1.183, -0.334], [-1.078, -3.628, -2.181], [-1.462, -3.499, 2.168]],
  "species": ["Mn", "Fe", "Sb", "Ir"],
  "fractional_positions": [[0.500, 0.500, 0.500], [0.750, 0.750, 0.750], [0.000, 0.000, 0.000], [0.250, 0.250, 0.250]]
}


{
  "formula": "MnFeSiIr",
  "functional": "PBE-GGA",
  "state": "optimized geometry",
  "e_form_raw_ev_per_atom": -0.37,
  "crystal_system": "cubic",
  "sg": "F-43m (216)",
  "cell": [[4.119, 0.000, 0.000], [2.059, 3.567, 0.000], [2.059, 1.189, 3.363]],
  "species": ["Ir", "Mn", "Si", "Fe"],
  "fractional_positions": [[0.500, 0.500, 0.500], [0.250, 0.250, 0.250], [0.750, 0.750, 0.750], [0.000, 0.000, 0.000]]
}


{
  "formula": "Sr2MnFeIr",
  "functional": "PBE-GGA",
  "state": "optimized geometry",
  "formation_enthalpy_0k_kj_per_mol_fu": 344,
  "crystal_system": "tetragonal",
  "sg": "P4/mmm (123)",
  "cell": [[-3.888, 1.357, -4.052], [3.354, -0.530, -3.395], [-1.407, -5.579, -0.519]],
  "species": ["Fe", "Sr", "Sr", "Mn", "Ir"],
  "fractional_positions": [[0.500, 0.500, 0.500], [0.500, 0.000, 0.000], [0.000, 0.000, 0.500], [0.000, 0.500, 0.000], [0.000, 0.000, 0.000]]
}


{
  "formula": "MnV5Fe2Ir2",
  "functional": "PBE-GGA",
  "state": "optimized geometry",
  "formation_enthalpy_0k_kj_per_mol_fu": -48,
  "crystal_system": "tetragonal",
  "sg": "P4/mbm (127)",
  "cell": [[-1.285, 0.428, -2.554], [7.340, -4.066, -4.376], [-4.241, -8.429, 0.720]],
  "species": ["Ir", "Ir", "Ir", "Ir", "V", "V", "V", "V", "V", "V", "V", "V", "V", "V", "Mn", "Mn", "Fe", "Fe", "Fe", "Fe"],
  "fractional_positions": [[0.000, 0.830, 0.670], [0.000, 0.330, 0.830], [0.000, 0.670, 0.170], [0.000, 0.170, 0.330], [0.500, 0.000, 0.500], [0.500, 0.692, 0.432], [0.500, 0.568, 0.692], [0.500, 0.500, 0.000], [0.500, 0.932, 0.192], [0.500, 0.808, 0.932], [0.500, 0.068, 0.808], [0.500, 0.308, 0.568], [0.500, 0.432, 0.308], [0.500, 0.192, 0.068], [0.000, 0.500, 0.500], [0.000, 0.000, 0.000], [0.000, 0.369, 0.131], [0.000, 0.131, 0.631], [0.000, 0.869, 0.369], [0.000, 0.631, 0.869]]
}


{
  "formula": "MnV2FeIr2",
  "functional": "PBE-GGA",
  "state": "optimized geometry",
  "formation_enthalpy_0k_kj_per_mol_fu": 1,
  "crystal_system": "orthorhombic",
  "sg": "Ibam (72)",
  "cell": [[5.284, 0.000, 0.000], [0.000, 5.290, 0.000], [-2.642, -2.645, 5.808]],
  "species": ["V", "V", "V", "V", "Ir", "Ir", "Ir", "Ir", "Mn", "Mn", "Fe", "Fe"],
  "fractional_positions": [[0.384, 0.640, 0.279], [0.105, 0.860, 0.721], [0.616, 0.360, 0.721], [0.895, 0.140, 0.279], [0.901, 0.655, 0.310], [0.409, 0.155, 0.310], [0.099, 0.345, 0.690], [0.591, 0.845, 0.690], [0.500, 0.750, 0.000], [0.500, 0.250, 0.000], [0.000, 0.750, 0.000], [0.000, 0.250, 0.000]]
}


{
  "formula": "MnFeIrW",
  "functional": "PBE-GGA",
  "state": "optimized geometry",
  "formation_enthalpy_0k_kj_per_mol_fu": -4,
  "crystal_system": "cubic",
  "sg": "F-43m (216)",
  "cell": [[4.294, 0.000, 0.000], [2.147, 3.719, 0.000], [2.147, 1.240, 3.506]],
  "species": ["Mn", "W", "Ir", "Fe"],
  "fractional_positions": [[0.500, 0.500, 0.500], [0.000, 0.000, 0.000], [0.250, 0.250, 0.250], [0.750, 0.750, 0.750]]
}